Record 1
{"formula": "Zr3Ga3Os", "functional": "PBE-GGA", "state": "relaxed", "magnetic_moment_mub_per_cell": 0.0, "e_tot_ev_per_atom": -7.08, "sg": "C2/m, No. 12", "cell": [[5.223, -1.926, 0.000], [5.223, 1.926, 0.000], [-4.291, 0.000, 13.135]], "species": ["Zr", "Zr", "Zr", "Zr", "Zr", "Zr", "Ga", "Ga", "Ga", "Ga", "Ga", "Ga", "Os", "Os"], "frac_coords": [[0.023, 0.023, 0.377], [0.116, 0.116, 0.927], [0.234, 0.234, 0.237], [0.766, 0.766, 0.763], [0.884, 0.884, 0.073], [0.977, 0.977, 0.623], [0.372, 0.372, 0.464], [0.389, 0.389, 0.925], [0.491, 0.491, 0.778], [0.509, 0.509, 0.222], [0.611, 0.611, 0.075], [0.628, 0.628, 0.536], [0.276, 0.276, 0.620], [0.724, 0.724, 0.380]]}

Record 2
{"formula": "ZrGa3Os", "functional": "PBE-GGA", "state": "relaxed", "magnetic_moment_mub_per_cell": 0.0, "e_above_lowest_polymorph_ev_per_atom": 1.379, "sg": "Pm-3m, No. 221", "cell": [[4.958, 0.000, 0.000], [0.000, 4.958, 0.000], [0.000, 0.000, 4.958]], "species": ["Zr", "Ga", "Ga", "Ga", "Os"], "frac_coords": [[0.000, 0.000, 0.000], [0.000, 0.000, 0.500], [0.000, 0.500, 0.000], [0.500, 0.000, 0.000], [0.500, 0.500, 0.500]]}

Record 3
{"formula": "Zr5Ga2Os", "functional": "PBE-GGA", "state": "relaxed", "magnetic_moment_mub_per_cell": 0.0, "e_tot_ev_per_atom": -7.90, "sg": "I4/mcm, No. 140", "cell": [[-3.475, 3.475, 6.678], [3.475, -3.475, 6.678], [3.475, 3.475, -6.678]], "species": ["Zr", "Zr", "Zr", "Zr", "Zr", "Zr", "Zr", "Zr", "Zr", "Zr", "Ga", "Ga", "Ga", "Ga", "Os", "Os"], "frac_coords": [[0.000, 0.000, 0.000], [0.023, 0.523, 0.846], [0.177, 0.023, 0.500], [0.323, 0.823, 0.846], [0.477, 0.323, 0.500], [0.500, 0.500, 0.000], [0.523, 0.677, 0.500], [0.677, 0.177, 0.154], [0.823, 0.977, 0.500], [0.977, 0.477, 0.154], [0.127, 0.373, 0.500], [0.373, 0.873, 0.247], [0.627, 0.127, 0.753], [0.873, 0.627, 0.500], [0.250, 0.250, 0.000], [0.750, 0.750, 0.000]]}